Entry A
Tl4Cd: single point on PBEsol structure, SCAN.

abc: 7.4137 7.4137 4.8704
angles: 90.00 90.00 90.00
With the nearest neighbours (Å) after each atom.
Space group I4/m (No. 87)
One atom of each set of equivalent atoms:
Tl 0.1076 0.2994 0.0000 x8  3 Cd 3.27-3.39, 9 Tl 3.31-3.41
Cd 0.0000 0.0000 0.5000 x2  12 Tl 3.27-3.39

Computed properties:
Crystal system: tetragonal
M_tot in μB per formula unit: 0.001

---

Entry B
Tl4Cd: single point on PBEsol structure, SCAN.

abc: 6.4437 6.4437 6.6636
angles: 90.00 90.00 90.00
With the nearest neighbours (Å) after each atom.
Space group P-42_1c (No. 114)
One atom of each set of equivalent atoms:
Tl 0.1076 0.2779 0.3584 x8  2 Cd 3.05-3.06, 3 Tl 3.18-3.31
Cd 0.0000 0.0000 0.0000 x2  8 Tl 3.05-3.06

Computed properties:
Crystal system: tetragonal
M_tot in μB per formula unit: 0.000

---

List of relative energies, unit meV per atom: entry A 13; entry B 0

---

Entry A
Tl2CdW: single point on PBEsol structure, SCAN.

abc: 6.9587 6.9587 6.9587
angles: 90.00 90.00 90.00
With the nearest neighbours (Å) after each atom.
Space group Fm-3m (No. 225)
One atom of each set of equivalent atoms:
Tl 0.2500 0.2500 0.2500 x8  4 Cd 3.01, 4 W 3.01
Cd 0.0000 0.0000 0.0000 x4  8 Tl 3.01
W 0.0000 0.0000 0.5000 x4  8 Tl 3.01

Computed properties:
Crystal system: cubic
M_tot in μB per formula unit: 2.679

---

Entry B
Tl2CdW: single point on PBEsol structure, SCAN.

abc: 2.8923 2.8923 10.6937
angles: 90.00 90.00 90.00
With the nearest neighbours (Å) after each atom.
Space group P4mm (No. 99)
One atom of each set of equivalent atoms:
Tl 0.0000 0.0000 0.0000 x1  4 Tl 2.89
Tl 0.5000 0.5000 0.3131 x1  4 Tl 2.89, 4 W 3.17
Cd 0.5000 0.5000 0.7379 x1  4 Cd 2.89, 4 W 2.95
W 0.0000 0.0000 0.5393 x1  4 W 2.89, 4 Cd 2.95, 4 Tl 3.17

Computed properties:
Crystal system: tetragonal
M_tot in μB per formula unit: 0.000

---

List of relative energies, unit meV per atom: entry A 481; entry B 0

---

Entry A
TlCdW2: single point on PBEsol structure, SCAN.

abc: 5.5941 9.1722 2.8020
angles: 90.00 90.00 90.00
With the nearest neighbours (Å) after each atom.
Space group Cmmm (No. 65)
One atom of each set of equivalent atoms:
Tl 0.0000 0.0000 0.0000 x2  2 Cd 2.80, 2 Tl 2.80, 8 W 3.03
Cd 0.0000 0.5000 0.0000 x2  2 Tl 2.80, 2 Cd 2.80, 8 W 3.03
W 0.2500 0.2500 0.5000 x4  4 W 2.80, 4 Cd 3.03, 4 Tl 3.03

Computed properties:
Crystal system: orthorhombic
M_tot in μB per formula unit: 0.466

---

Entry B
TlCdW2: single point on PBEsol structure, SCAN.

abc: 3.1928 4.6854 9.6018
angles: 90.00 90.00 90.00
With the nearest neighbours (Å) after each atom.
Space group Cmmm (No. 65)
One atom of each set of equivalent atoms:
Tl 0.0000 0.0000 0.0000 x2  4 Tl 2.83, 4 W 2.89
Cd 0.0000 0.0000 0.5000 x2  4 Cd 2.83, 4 W 2.88
W 0.0000 0.5000 0.2508 x4  4 W 2.83, 2 Cd 2.88, 2 Tl 2.89

Computed properties:
Crystal system: orthorhombic
M_tot in μB per formula unit: 0.000

---

Entry C
TlCdW2: single point on PBEsol structure, SCAN.

abc: 3.3166 4.7823 9.3946
angles: 90.00 90.00 90.00
With the nearest neighbours (Å) after each atom.
Space group Imm2 (No. 44)
One atom of each set of equivalent atoms:
Tl 0.0000 0.0000 0.0000 x2  8 W 2.93-3.25, 4 Cd 3.03-3.22
Cd 0.0000 0.5000 0.2301 x2  8 W 2.93-3.24, 4 Tl 3.03-3.22
W 0.0000 0.0000 0.4636 x2  2 W 2.50
W 0.0000 0.5000 0.7651 x2  2 W 2.50

Computed properties:
Crystal system: orthorhombic
M_tot in μB per formula unit: 0.000

---

List of relative energies, unit meV per atom: entry A 172; entry B 86; entry C 0